a | The following is a DFT calculation (GGA-PBE) of a relaxed structure of MgTiPt3.

```
MgTiPt3
1.0
4.712 0.000 0.000
0.000 4.712 0.000
0.000 0.000 4.712
Mg Ti Pt
1 1 3
Direct
0.000 0.000 0.000
0.500 0.500 0.500
0.000 0.500 0.500
0.500 0.000 0.500
0.500 0.500 0.000
```

Computed properties:
The mass density is 10.4 g/cm3. The density of states at the Fermi level is 3.1 states/eV per cell. The value obtained for the total magnetization is 0.000 μB/cell. As for the space group: Pm-3m.

b | The following is a DFT calculation (GGA-PBE) of a relaxed structure of MgTiPt3.

```
MgTiPt3
1.0
4.560 0.000 0.000
0.000 4.560 0.000
0.000 0.000 4.560
Mg Ti Pt
1 1 3
Direct
0.000 0.000 0.000
0.500 0.500 0.500
0.000 0.000 0.500
0.000 0.500 0.000
0.500 0.000 0.000
```

Computed properties:
The mass density is 11.5 g/cm3. The density of states at the Fermi level is 14.1 states/eV per cell. The value obtained for the total magnetization is 0.000 μB/cell. As for the space group: Pm-3m.

Stability summary: most stable a, least stable b.